An optimized crystal structure of Pm10Tl3Pb3. Source: the Alexandria database, functional PBE-GGA.

abc: 9.2716 9.2716 6.9203
angles: 90.00 90.00 120.00
With the nearest neighbours (Å) after each atom.
Space group P-62m (No. 189)
Symmetry-distinct sites (fractional):
1 Pm 0.0000 0.2386 0.0000 (multiplicity 3)  3 Pb 3.21-3.38
2 Pm 0.0000 0.7642 0.5000 (multiplicity 3)  3 Tl 3.23-3.37
3 Pm 0.3333 0.6667 0.2535 (multiplicity 4)  3 Tl 3.31, 3 Pb 3.34, 2 Pm 3.41-3.51
4 Tl 0.0000 0.4003 0.5000 (multiplicity 3)  7 Pm 3.23-3.37
5 Pb 0.0000 0.6031 0.0000 (multiplicity 3)  7 Pm 3.21-3.38

Computed properties:
volume	32.20	Å³ per atom
E_form	-415	meV/atom

=====

An optimized crystal structure of Pm3SmTmSc. Source: the Alexandria database, functional PBE-GGA.

abc: 7.9083 5.0601 10.0882
angles: 90.00 108.71 90.00
With the nearest neighbours (Å) after each atom.
Space group P2_1/m (No. 11)
Symmetry-distinct sites (fractional):
1 Pm 0.1713 0.2500 0.0449 (multiplicity 2)  1 Sc 3.52, 3 Tm 3.53-3.57, 3 Sm 3.58-3.65, 5 Pm 3.60-3.61
2 Pm 0.1727 0.7500 0.7905 (multiplicity 2)  1 Sc 3.53, 3 Tm 3.53-3.55, 6 Pm 3.57-3.61, 2 Sm 3.64
3 Pm 0.1768 0.2500 0.5418 (multiplicity 2)  3 Sc 3.46-3.51, 1 Tm 3.50, 3 Sm 3.54-3.66, 5 Pm 3.57-3.66
4 Sm 0.1758 0.7500 0.2965 (multiplicity 2)  3 Sc 3.46-3.50, 1 Tm 3.50, 8 Pm 3.54-3.66
5 Tm 0.4990 0.7500 0.1273 (multiplicity 2)  7 Pm 3.50-3.57, 1 Sm 3.50, 2 Sc 3.57, 2 Tm 3.61
6 Sc 0.4992 0.2500 0.3777 (multiplicity 2)  5 Pm 3.46-3.53, 3 Sm 3.46-3.50, 2 Sc 3.53, 2 Tm 3.57

Computed properties:
volume	31.86	Å³ per atom
E_form	43	meV/atom

=====

An optimized crystal structure of TbEr2Pt. Source: the Alexandria database, functional PBE-GGA.

abc: 3.7679 3.7679 28.3213
angles: 90.00 90.00 120.00
With the nearest neighbours (Å) after each atom.
Space group R-3m (No. 166, hexagonal axes)
Symmetry-distinct sites (fractional):
1 Tb 0.0000 0.0000 0.0000 (multiplicity 3)  6 Er 3.68, 6 Tb 3.77
2 Er 0.0000 0.0000 0.2286 (multiplicity 6)  3 Pt 2.80
3 Pt 0.0000 0.0000 0.5000 (multiplicity 3)  6 Er 2.80

Computed properties:
volume	29.02	Å³ per atom
E_form	-506	meV/atom
ΔE to the lowest computed polymorph	223	meV/atom

=====

An optimized crystal structure of ErPd6Pt23. Source: the Alexandria database, functional PBE-GGA.

abc: 7.9198 7.9198 15.6430
angles: 90.00 90.00 90.00
With the nearest neighbours (Å) after each atom.
Space group I4/mmm (No. 139)
Symmetry-distinct sites (fractional):
1 Er 0.0000 0.0000 0.0000 (multiplicity 2)  4 Pd 2.81, 8 Pt 2.90
2 Pd 0.0000 0.0000 0.2482 (multiplicity 4)  12 Pt 2.76-2.80
3 Pd 0.2488 0.2488 0.5000 (multiplicity 8)  11 Pt 2.79-2.85, 1 Er 2.81
4 Pt 0.0000 0.0000 0.5000 (multiplicity 2)  4 Pd 2.79, 8 Pt 2.82
5 Pt 0.0000 0.2514 0.3720 (multiplicity 16)  8 Pt 2.74-2.82, 3 Pd 2.78-2.81
6 Pt 0.0000 0.2601 0.1304 (multiplicity 16)  7 Pt 2.72-2.91, 3 Pd 2.76-2.85, 1 Er 2.90
7 Pt 0.0000 0.5000 0.0000 (multiplicity 4)  8 Pt 2.79-2.81, 4 Pd 2.80
8 Pt 0.2500 0.2500 0.2500 (multiplicity 8)  8 Pt 2.72-2.75, 2 Pd 2.80

Computed properties:
volume	16.35	Å³ per atom
E_form	-129	meV/atom

=====

An optimized crystal structure of K3PSe16. Source: the Alexandria database, functional PBE-GGA.

abc: 16.8049 16.8049 16.8049
angles: 90.00 90.00 90.00
With the nearest neighbours (Å) after each atom.
Space group Fd-3 (No. 203, origin choice 2)
Symmetry-distinct sites (fractional):
1 K 0.0000 0.0000 0.0000 (multiplicity 16)  12 Se 3.58-3.80, 2 P 3.64
2 K 0.1250 0.1250 0.6250 (multiplicity 8)  12 Se 3.82
3 P 0.1250 0.1250 0.1250 (multiplicity 8)  4 Se 2.24
4 Se 0.0080 0.3196 0.6360 (multiplicity 96)  2 Se 2.41
5 Se 0.0482 0.0482 0.2018 (multiplicity 32)  1 P 2.24

Computed properties:
formation energy from raw total energies	-0.35	eV/atom
volume	29.66	Å³ per atom

=====

An optimized crystal structure of NaHgRu3. Source: the Alexandria database, functional PBE-GGA.

abc: 5.0760 5.0760 5.0760
angles: 90.00 90.00 90.00
With the nearest neighbours (Å) after each atom.
Space group Pm-3m (No. 221)
Symmetry-distinct sites (fractional):
1 Na 0.0000 0.0000 0.0000 (multiplicity 1)  12 Ru 3.59
2 Hg 0.5000 0.5000 0.5000 (multiplicity 1)  6 Ru 2.54
3 Ru 0.0000 0.5000 0.5000 (multiplicity 3)  2 Hg 2.54

Computed properties:
volume	26.16	Å³ per atom
E_form	2078	meV/atom
ΔE to the lowest computed polymorph	0	meV/atom

=====

An optimized crystal structure of K4CoRu. Source: the Alexandria database, functional PBE-GGA.

abc: 9.6852 9.6852 9.6852
angles: 90.00 90.00 90.00
With the nearest neighbours (Å) after each atom.
Space group F-43m (No. 216)
Symmetry-distinct sites (fractional):
1 K 0.1247 0.1247 0.1247 (multiplicity 16)  6 K 3.42-3.43
2 Co 0.0000 0.0000 0.5000 (multiplicity 4)  12 K 4.02, 4 Ru 4.19
3 Ru 0.2500 0.2500 0.7500 (multiplicity 4)  12 K 4.01, 4 Co 4.19

Computed properties:
volume	37.85	Å³ per atom
E_form	1494	meV/atom

=====

An optimized crystal structure of YAuN2. Source: the Alexandria database, functional PBE-GGA.

abc: 4.6347 4.6347 12.0308
angles: 90.00 90.00 90.00
With the nearest neighbours (Å) after each atom.
Space group I-42d (No. 122)
Symmetry-distinct sites (fractional):
1 Y 0.0000 0.0000 0.0000 (multiplicity 4)  4 N 2.29
2 Au 0.0000 0.0000 0.5000 (multiplicity 4)  4 N 2.16
3 N 0.2227 0.2500 0.6250 (multiplicity 8)  2 Au 2.16, 2 Y 2.29

Computed properties:
formation energy from raw total energies	0.14	eV/atom
volume	16.15	Å³ per atom
ΔE to the lowest computed polymorph	245	meV/atom

=====

Q: Among the records above, which one has the lowest volume?
A: YAuN2

=====

Please write out number 8 again, unchanged.
An optimized crystal structure of YAuN2. Source: the Alexandria database, functional PBE-GGA.

abc: 4.6347 4.6347 12.0308
angles: 90.00 90.00 90.00
With the nearest neighbours (Å) after each atom.
Space group I-42d (No. 122)
Symmetry-distinct sites (fractional):
1 Y 0.0000 0.0000 0.0000 (multiplicity 4)  4 N 2.29
2 Au 0.0000 0.0000 0.5000 (multiplicity 4)  4 N 2.16
3 N 0.2227 0.2500 0.6250 (multiplicity 8)  2 Au 2.16, 2 Y 2.29

Computed properties:
formation energy from raw total energies	0.14	eV/atom
volume	16.15	Å³ per atom
ΔE to the lowest computed polymorph	245	meV/atom

=====

Q: Look up the volume of the eighth one.
A: 16.15 Å³ per atom

=====

Copy entry 3 word for word.
An optimized crystal structure of TbEr2Pt. Source: the Alexandria database, functional PBE-GGA.

abc: 3.7679 3.7679 28.3213
angles: 90.00 90.00 120.00
With the nearest neighbours (Å) after each atom.
Space group R-3m (No. 166, hexagonal axes)
Symmetry-distinct sites (fractional):
1 Tb 0.0000 0.0000 0.0000 (multiplicity 3)  6 Er 3.68, 6 Tb 3.77
2 Er 0.0000 0.0000 0.2286 (multiplicity 6)  3 Pt 2.80
3 Pt 0.0000 0.0000 0.5000 (multiplicity 3)  6 Er 2.80

Computed properties:
volume	29.02	Å³ per atom
E_form	-506	meV/atom
ΔE to the lowest computed polymorph	223	meV/atom